Record 1
DFT (PBE-GGA) results for crystalline Hf3TiCr at its relaxed geometry.

Cell: 4.791 4.791 4.791 Å, 90.00 90.00 90.00°
Atoms (fractional coordinates):
Hf1 0.000 0.000 0.500
Hf2 0.000 0.500 0.000
Hf3 0.500 0.000 0.000
Ti1 0.500 0.500 0.500
Cr1 0.000 0.000 0.000

Computed properties:
* DFT total energy: -44.0 eV per cell

---

Record 2
DFT (PBE-GGA) results for crystalline HfTiCr2 at its relaxed geometry.

Cell: 6.319 6.319 6.319 Å, 90.00 90.00 90.00°
Atoms (fractional coordinates):
Hf1 0.000 0.000 0.000
Hf2 0.000 0.500 0.500
Hf3 0.500 0.000 0.500
Hf4 0.500 0.500 0.000
Ti1 0.000 0.000 0.500
Ti2 0.000 0.500 0.000
Ti3 0.500 0.000 0.000
Ti4 0.500 0.500 0.500
Cr1 0.250 0.250 0.250
Cr2 0.250 0.250 0.750
Cr3 0.250 0.750 0.250
Cr4 0.250 0.750 0.750
Cr5 0.750 0.250 0.250
Cr6 0.750 0.250 0.750
Cr7 0.750 0.750 0.250
Cr8 0.750 0.750 0.750

Computed properties:
* DFT total energy: -146.3 eV per cell

---

Record 3
DFT (PBE-GGA) results for crystalline Hf2TiCr at its relaxed geometry.

Cell: 6.598 6.598 6.598 Å, 90.00 90.00 90.00°
Atoms (fractional coordinates):
Hf1 0.250 0.250 0.250
Hf2 0.250 0.250 0.750
Hf3 0.250 0.750 0.250
Hf4 0.250 0.750 0.750
Hf5 0.750 0.250 0.250
Hf6 0.750 0.250 0.750
Hf7 0.750 0.750 0.250
Hf8 0.750 0.750 0.750
Ti1 0.000 0.000 0.000
Ti2 0.000 0.500 0.500
Ti3 0.500 0.000 0.500
Ti4 0.500 0.500 0.000
Cr1 0.000 0.000 0.500
Cr2 0.000 0.500 0.000
Cr3 0.500 0.000 0.000
Cr4 0.500 0.500 0.500

Computed properties:
* DFT total energy: -146.5 eV per cell

---

Record 4
DFT (PBE-GGA) results for crystalline HfZr2TiCr at its relaxed geometry.

Cell: 4.885 4.885 4.513 Å, 90.00 90.00 90.00°
Atoms (fractional coordinates):
Hf1 0.000 0.000 0.000
Zr1 0.000 0.500 0.500
Zr2 0.500 0.000 0.500
Ti1 0.500 0.500 0.000
Cr1 0.500 0.500 0.500

Computed properties:
* DFT total energy: -41.9 eV per cell

---

Record 5
DFT (PBE-GGA) results for crystalline Hf2TlCr at its relaxed geometry.

Cell: 3.238 3.238 27.063 Å, 90.00 90.00 120.00°
Atoms (fractional coordinates):
Hf1 0.000 0.000 0.237
Hf2 0.000 0.000 0.763
Hf3 0.333 0.667 0.430
Hf4 0.333 0.667 0.903
Hf5 0.667 0.333 0.097
Hf6 0.667 0.333 0.570
Tl1 0.000 0.000 0.000
Tl2 0.333 0.667 0.667
Tl3 0.667 0.333 0.333
Cr1 0.000 0.000 0.500
Cr2 0.333 0.667 0.167
Cr3 0.667 0.333 0.833

Computed properties:
* DFT total energy: -92.9 eV per cell

---

Record 6
DFT (PBE-GGA) results for crystalline Hf2TlCr at its relaxed geometry.

Cell: 3.290 3.290 7.255 Å, 90.00 90.00 90.00°
Atoms (fractional coordinates):
Hf1 0.000 0.000 0.208
Hf2 0.000 0.000 0.792
Tl1 0.500 0.500 0.500
Cr1 0.500 0.500 0.000

Computed properties:
* DFT total energy: -31.6 eV per cell

---

Record 7
DFT (PBE-GGA) results for crystalline Hf2TlCr at its relaxed geometry.

Cell: 4.157 4.157 20.615 Å, 90.00 90.00 90.00°
Atoms (fractional coordinates):
Hf1 0.246 0.250 0.125
Hf2 0.250 0.746 0.375
Hf3 0.250 0.754 0.875
Hf4 0.254 0.250 0.625
Hf5 0.746 0.750 0.625
Hf6 0.750 0.246 0.875
Hf7 0.750 0.254 0.375
Hf8 0.754 0.750 0.125
Tl1 0.000 0.000 0.500
Tl2 0.000 0.500 0.750
Tl3 0.500 0.000 0.250
Tl4 0.500 0.500 0.000
Cr1 0.000 0.000 0.000
Cr2 0.000 0.500 0.250
Cr3 0.500 0.000 0.750
Cr4 0.500 0.500 0.500

Computed properties:
* DFT total energy: -115.5 eV per cell

---

Record 8
DFT (PBE-GGA) results for crystalline HfTlCr3 at its relaxed geometry.

Cell: 4.871 4.871 4.871 Å, 90.00 90.00 90.00°
Atoms (fractional coordinates):
Hf1 0.000 0.000 0.000
Tl1 0.500 0.500 0.500
Cr1 0.000 0.000 0.500
Cr2 0.000 0.500 0.000
Cr3 0.500 0.000 0.000

Computed properties:
* DFT total energy: -33.2 eV per cell

---

Record 9
DFT (PBE-GGA) results for crystalline Hf2TlCr at its relaxed geometry.

Cell: 6.770 6.770 6.770 Å, 90.00 90.00 90.00°
Atoms (fractional coordinates):
Hf1 0.250 0.250 0.250
Hf2 0.250 0.250 0.750
Hf3 0.250 0.750 0.250
Hf4 0.250 0.750 0.750
Hf5 0.750 0.250 0.250
Hf6 0.750 0.250 0.750
Hf7 0.750 0.750 0.250
Hf8 0.750 0.750 0.750
Tl1 0.000 0.000 0.000
Tl2 0.000 0.500 0.500
Tl3 0.500 0.000 0.500
Tl4 0.500 0.500 0.000
Cr1 0.000 0.000 0.500
Cr2 0.000 0.500 0.000
Cr3 0.500 0.000 0.000
Cr4 0.500 0.500 0.500

Computed properties:
* DFT total energy: -122.9 eV per cell

---

Record 10
DFT (PBE-GGA) results for crystalline HfUCr4 at its relaxed geometry.

Cell: 5.045 5.045 5.045 Å, 60.00 60.00 60.00°
Atoms (fractional coordinates):
Hf1 0.000 0.000 0.000
U1 0.250 0.250 0.250
Cr1 0.125 0.625 0.625
Cr2 0.625 0.125 0.625
Cr3 0.625 0.625 0.125
Cr4 0.625 0.625 0.625

Computed properties:
* DFT total energy: -58.5 eV per cell

---

Record 11
DFT (PBE-GGA) results for crystalline HfUCr at its relaxed geometry.

Cell: 13.696 13.696 13.696 Å, 23.07 23.07 23.07°
Atoms (fractional coordinates):
Hf1 0.037 0.037 0.037
Hf2 0.179 0.179 0.179
Hf3 0.384 0.384 0.384
Hf4 0.616 0.616 0.616
Hf5 0.821 0.821 0.821
Hf6 0.963 0.963 0.963
U1 0.203 0.731 0.731
U2 0.269 0.269 0.797
U3 0.269 0.797 0.269
U4 0.731 0.203 0.731
U5 0.731 0.731 0.203
U6 0.797 0.269 0.269
Cr1 0.000 0.500 0.500
Cr2 0.281 0.281 0.281
Cr3 0.500 0.000 0.500
Cr4 0.500 0.500 0.000
Cr5 0.500 0.500 0.500
Cr6 0.719 0.719 0.719

Computed properties:
* DFT total energy: -177.9 eV per cell

---

Record 12
DFT (PBE-GGA) results for crystalline Hf2V3Cr at its relaxed geometry.

Cell: 8.521 5.277 5.010 Å, 90.00 121.86 90.00°
Atoms (fractional coordinates):
Hf1 0.127 0.000 0.374
Hf2 0.373 0.500 0.626
Hf3 0.627 0.500 0.374
Hf4 0.873 0.000 0.626
V1 0.000 0.500 0.500
V2 0.250 0.250 0.000
V3 0.250 0.750 0.000
V4 0.500 0.000 0.500
V5 0.750 0.250 0.000
V6 0.750 0.750 0.000
Cr1 0.000 0.500 0.000
Cr2 0.500 0.000 0.000

Computed properties:
* DFT total energy: -114.2 eV per cell